1.
Here is an optimized crystal structure of Ta2Tc2O from the Alexandria database. Energies are from PBE.

Output
N(E_F) (states/eV/cell): 5.58
M_tot (μB per cell): 0.0
Formation energy without anion corrections (meV per atom): 939
E (eV per atom): -8.940
Energy above the lowest structure with this stoichiometry (meV/atom): 488.7

Lattice parameters (Å, degrees): 4.1265 4.1265 6.3058 70.90 70.90 90.00
Closest atoms and distances in Å follow each position.
Fractional coordinates of all 5 atoms:
Tc: 0.3846 0.3846 0.2307  4 Ta 2.55, 1 Tc 2.58
Tc: 0.6154 0.6154 0.7693  4 Ta 2.55, 1 Tc 2.58
O: 0.0000 0.0000 0.0000  8 Tc 3.19, 8 Ta 3.47
Ta: 0.7500 0.2500 0.5000  4 Tc 2.55
Ta: 0.2500 0.7500 0.5000  4 Tc 2.55

2.
Here is an optimized crystal structure of MnZnBi2S from the Alexandria database. Energies are from PBE.

Output
N(E_F) (states/eV/cell): 3.85
M_tot (μB per cell): 0.0
Formation energy without anion corrections (meV per atom): 265
E (eV per atom): -4.201

Lattice parameters (Å, degrees): 5.4341 5.4341 4.0539 90.00 90.00 90.00
Closest atoms and distances in Å follow each position.
Fractional coordinates of all 5 atoms:
S: 0.0000 0.0000 0.5000  2 Mn 2.03
Zn: 0.5000 0.5000 0.5000  8 Bi 3.39
Mn: 0.0000 0.0000 0.0000  2 S 2.03
Bi: 0.0000 0.5000 0.0000  2 Mn 2.72
Bi: 0.5000 0.0000 0.0000  2 Mn 2.72

3.
Here is an optimized crystal structure of HoTiNi4 from the Alexandria database. Energies are from PBE.

Output
N(E_F) (states/eV/cell): 5.35
M_tot (μB per cell): 0.0
Energy relative to the elements (meV/atom): -355
E (eV per atom): -6.288

Lattice parameters (Å, degrees): 4.9080 4.9080 4.9080 60.00 60.00 60.00
Closest atoms and distances in Å follow each position.
Fractional coordinates of all 6 atoms:
Ni: 0.6243 0.6243 0.1270  6 Ni 2.44-2.47
Ni: 0.6243 0.1270 0.6243  6 Ni 2.44-2.47
Ni: 0.6243 0.6243 0.6243  6 Ni 2.44-2.47
Ni: 0.1270 0.6243 0.6243  6 Ni 2.44-2.47
Ho: 0.0000 0.0000 0.0000  12 Ni 2.88, 4 Ti 3.01
Ti: 0.2500 0.2500 0.2500  12 Ni 2.88, 4 Ho 3.01

4.
Here is an optimized crystal structure of TlBi2Au9 from the Alexandria database. Energies are from PBE.

Output
N(E_F) (states/eV/cell): 5.47
M_tot (μB per cell): 0.0
Energy relative to the elements (meV/atom): -8
E (eV per atom): -3.310

Lattice parameters (Å, degrees): 5.6967 5.6967 9.9084 73.29 73.29 60.00
Closest atoms and distances in Å follow each position.
Fractional coordinates of all 12 atoms:
Tl: 0.0000 0.0000 0.0000  6 Au 3.29
Bi: 0.8545 0.8545 0.4364  12 Au 3.33-3.34, 3 Bi 3.50
Bi: 0.1455 0.1455 0.5636  12 Au 3.33-3.34, 3 Bi 3.50
Au: 0.6669 0.6669 0.9993  6 Au 2.86-2.89
Au: 0.3331 0.3331 0.0007  6 Au 2.86-2.89
Au: 0.5000 0.5000 0.5000  6 Au 2.85
Au: 0.4143 0.4143 0.2527  7 Au 2.82-2.89
Au: 0.9188 0.4143 0.2527  7 Au 2.82-2.89
Au: 0.4143 0.9188 0.2527  7 Au 2.82-2.89
Au: 0.5857 0.5857 0.7473  7 Au 2.82-2.89
Au: 0.5857 0.0812 0.7473  7 Au 2.82-2.89
Au: 0.0812 0.5857 0.7473  7 Au 2.82-2.89

5.
Here is an optimized crystal structure of CuSbTe2Au from the Alexandria database. Energies are from PBE.

Output
N(E_F) (states/eV/cell): 4.40
M_tot (μB per cell): 0.0
Formation energy without anion corrections (meV per atom): 587
E (eV per atom): -2.969
Energy above the lowest structure with this stoichiometry (meV/atom): 0.0

Lattice parameters (Å, degrees): 5.1826 5.1826 4.9815 90.00 90.00 90.00
Closest atoms and distances in Å follow each position.
Fractional coordinates of all 5 atoms:
Sb: 0.0000 0.0000 0.5000  2 Cu 2.49
Te: 0.0000 0.5000 0.0000  2 Cu 2.59
Te: 0.5000 0.0000 0.0000  2 Cu 2.59
Au: 0.5000 0.5000 0.5000  8 Te 3.59, 4 Sb 3.66
Cu: 0.0000 0.0000 0.0000  2 Sb 2.49, 4 Te 2.59

6.
Here is an optimized crystal structure of RbAl3P from the Alexandria database. Energies are from PBE.

Output
N(E_F) (states/eV/cell): 3.62
M_tot (μB per cell): 0.0
Energy relative to the elements (meV/atom): 505
E (eV per atom): -3.016
Energy above the lowest structure with this stoichiometry (meV/atom): 0.0

Lattice parameters (Å, degrees): 5.1284 5.1284 5.1284 90.00 90.00 90.00
Closest atoms and distances in Å follow each position.
Fractional coordinates of all 5 atoms:
P: 0.0000 0.0000 0.0000  6 Al 2.56
Al: 0.0000 0.5000 0.0000  2 P 2.56
Al: 0.0000 0.0000 0.5000  2 P 2.56
Al: 0.5000 0.0000 0.0000  2 P 2.56
Rb: 0.5000 0.5000 0.5000  12 Al 3.63

7.
Here is an optimized crystal structure of Sb2RhCl from the Alexandria database. Energies are from PBE.

Output
N(E_F) (states/eV/cell): 4.80
M_tot (μB per cell): 0.0
Formation energy without anion corrections (meV per atom): -106
E (eV per atom): -4.467

Lattice parameters (Å, degrees): 8.9431 8.9431 8.9431 22.74 22.74 22.74
Closest atoms and distances in Å follow each position.
Fractional coordinates of all 4 atoms:
Cl: 0.4770 0.4770 0.4770  3 Rh 2.62
Rh: 0.7470 0.7470 0.7470  3 Sb 2.56, 3 Cl 2.62
Sb: 0.0207 0.0207 0.0207  3 Rh 2.56
Sb: 0.2554 0.2554 0.2554  9 Sb 3.28-3.53, 3 Cl 3.56

8.
Here is an optimized crystal structure of TbPd4Au8 from the Alexandria database. Energies are from PBE.

Output
N(E_F) (states/eV/cell): 4.49
M_tot (μB per cell): 0.0
Energy relative to the elements (meV/atom): 75
E (eV per atom): -3.895
Energy above the lowest structure with this stoichiometry (meV/atom): 342.1

Lattice parameters (Å, degrees): 7.3501 7.3501 7.3501 60.00 60.00 60.00
Closest atoms and distances in Å follow each position.
Fractional coordinates of all 13 atoms:
Tb: 0.7500 0.7500 0.7500  4 Au 2.72
Pd: 0.9630 0.3457 0.3457  6 Au 2.75-2.76, 3 Pd 2.81
Pd: 0.3457 0.9630 0.3457  6 Au 2.75-2.76, 3 Pd 2.81
Pd: 0.3457 0.3457 0.9630  6 Au 2.75-2.76, 3 Pd 2.81
Pd: 0.3457 0.3457 0.3457  6 Au 2.75-2.76, 3 Pd 2.81
Au: 0.7164 0.0945 0.0945  3 Pd 2.75, 3 Au 2.78
Au: 0.0945 0.7164 0.0945  3 Pd 2.75, 3 Au 2.78
Au: 0.0945 0.0945 0.7164  3 Pd 2.75, 3 Au 2.78
Au: 0.0945 0.0945 0.0945  3 Pd 2.75, 3 Au 2.78
Au: 0.2029 0.5990 0.5990  1 Tb 2.72, 3 Pd 2.76, 3 Au 2.91
Au: 0.5990 0.2029 0.5990  1 Tb 2.72, 3 Pd 2.76, 3 Au 2.91
Au: 0.5990 0.5990 0.2029  1 Tb 2.72, 3 Pd 2.76, 3 Au 2.91
Au: 0.5990 0.5990 0.5990  1 Tb 2.72, 3 Pd 2.76, 3 Au 2.91

9.
Here is an optimized crystal structure of KUCuBr6 from the Alexandria database. Energies are from PBE.

Output
N(E_F) (states/eV/cell): 5.04
M_tot (μB per cell): 2.0
Formation energy without anion corrections (meV per atom): -1176
E (eV per atom): -4.123

Lattice parameters (Å, degrees): 6.8020 7.5715 7.2178 91.14 94.66 67.59
Closest atoms and distances in Å follow each position.
Fractional coordinates of all 9 atoms:
K: 0.9707 0.0367 0.9770  6 Br 3.30-3.66
U: 0.6726 0.6541 0.5169  6 Br 2.74-2.91
Cu: 0.3147 0.4502 0.4213  3 Br 2.37-2.38
Br: 0.0207 0.3595 0.3450  1 Cu 2.37
Br: 0.3563 0.9311 0.6936  1 U 2.75
Br: 0.5586 0.3745 0.6891  1 Cu 2.37
Br: 0.9583 0.6214 0.8174  1 U 2.74
Br: 0.3981 0.6381 0.2041  1 Cu 2.38
Br: 0.7498 0.9345 0.3355  1 U 2.75

10.
Here is an optimized crystal structure of K2MoSe from the Alexandria database. Energies are from PBE.

Output
N(E_F) (states/eV/cell): 0.50
M_tot (μB per cell): 4.4
Formation energy without anion corrections (meV per atom): 525
E (eV per atom): -3.603
Energy above the lowest structure with this stoichiometry (meV/atom): 292.9

Lattice parameters (Å, degrees): 4.5318 4.5419 5.8897 90.00 90.00 90.00
Closest atoms and distances in Å follow each position.
Fractional coordinates of all 4 atoms:
K: 0.0000 0.0000 0.9876  2 K 2.80-3.09
K: 0.0000 0.0000 0.5124  2 K 2.80-3.09
Mo: 0.5000 0.5000 0.2500  2 Se 2.94
Se: 0.5000 0.5000 0.7500  2 Mo 2.94

11.
Here is an optimized crystal structure of La3Nd12Tm from the Alexandria database. Energies are from PBE.

Output
N(E_F) (states/eV/cell): 26.74
M_tot (μB per cell): 0.0
Energy relative to the elements (meV/atom): 14
E (eV per atom): -4.765

Lattice parameters (Å, degrees): 5.2082 5.2082 20.8140 90.00 90.00 90.00
Closest atoms and distances in Å follow each position.
Fractional coordinates of all 16 atoms:
La: 0.0000 0.0000 0.2484  12 Nd 3.68-3.70
La: 0.0000 0.0000 0.5000  12 Nd 3.68-3.69
La: 0.0000 0.0000 0.7516  12 Nd 3.68-3.70
Nd: 0.5000 0.5000 0.0000  8 Nd 3.64, 4 Tm 3.68
Nd: 0.5000 0.5000 0.2473  4 La 3.68, 8 Nd 3.69-3.71
Nd: 0.5000 0.5000 0.5000  4 La 3.68, 8 Nd 3.69
Nd: 0.5000 0.5000 0.7527  4 La 3.68, 8 Nd 3.69-3.71
Nd: 0.5000 0.0000 0.1219  8 Nd 3.64-3.69, 2 Tm 3.64, 2 La 3.70
Nd: 0.5000 0.0000 0.3743  8 Nd 3.68-3.71, 4 La 3.69
Nd: 0.5000 0.0000 0.6257  8 Nd 3.68-3.71, 4 La 3.69
Nd: 0.5000 0.0000 0.8781  8 Nd 3.64-3.69, 2 Tm 3.64, 2 La 3.70
Nd: 0.0000 0.5000 0.1219  8 Nd 3.64-3.69, 2 Tm 3.64, 2 La 3.70
Nd: 0.0000 0.5000 0.3743  8 Nd 3.68-3.71, 4 La 3.69
Nd: 0.0000 0.5000 0.6257  8 Nd 3.68-3.71, 4 La 3.69
Nd: 0.0000 0.5000 0.8781  8 Nd 3.64-3.69, 2 Tm 3.64, 2 La 3.70
Tm: 0.0000 0.0000 0.0000  12 Nd 3.64-3.68

12.
Here is an optimized crystal structure of Ac7NdEr2 from the Alexandria database. Energies are from PBE.

Output
N(E_F) (states/eV/cell): 14.07
M_tot (μB per cell): 0.0
Energy relative to the elements (meV/atom): 621
E (eV per atom): -3.645

Lattice parameters (Å, degrees): 6.1379 9.6495 9.6496 63.53 90.00 90.00
Closest atoms and distances in Å follow each position.
Fractional coordinates of all 10 atoms:
Ac: 0.0000 0.2428 0.2428  2 Er 3.20
Ac: 0.0000 0.7572 0.7572  2 Er 3.20
Ac: 0.5000 0.9400 0.3105  2 Er 3.41-3.43, 2 Ac 3.76-3.80
Ac: 0.5000 0.0600 0.6895  2 Er 3.41-3.43, 2 Ac 3.76-3.80
Ac: 0.5000 0.6895 0.0600  2 Er 3.41-3.43, 2 Ac 3.76-3.80
Ac: 0.5000 0.3105 0.9400  2 Er 3.41-3.43, 2 Ac 3.76-3.80
Ac: 0.5000 0.5000 0.5000  2 Er 3.30
Nd: 0.0000 0.0000 0.0000  10 Ac 3.98-4.15
Er: 0.5000 0.2988 0.2988  7 Ac 3.20-3.43
Er: 0.5000 0.7012 0.7012  7 Ac 3.20-3.43